This record from Alexandria describes crystalline Sm8GaCo2 at its relaxed geometry. The functional is GGA-PBE. Values from VASP.

Quantum ESPRESSO input file:
```
&SYSTEM
  ibrav = 0, nat = 11, ntyp = 3
/
ATOMIC_SPECIES
Co 58.93 Co.upf
Ga 69.72 Ga.upf
Sm 150.36 Sm.upf
ATOMIC_POSITIONS crystal
Co 0.500 0.705 0.302
Co 0.500 0.302 0.705
Ga 0.999 0.003 0.003
Sm 0.568 0.333 0.077
Sm 0.568 0.077 0.333
Sm 0.192 0.387 0.387
Sm 0.000 0.246 0.760
Sm 0.000 0.760 0.246
Sm 0.808 0.619 0.619
Sm 0.432 0.929 0.673
Sm 0.432 0.673 0.929
CELL_PARAMETERS angstrom
5.382 0.135 -0.851
-1.775 7.101 -3.082
0.150 -0.169 7.938
```

Properties
ΔE_f = -0.059 eV per atom
Density = 7.62 g cm⁻³
Calculated volume = 303 Å³/cell